Pm2Tm after structural relaxation. Source: OQMD via LeMat-Bulk, functional PBE.

POSCAR file:
```
Pm2Tm
1.0
0.000 3.860 3.860
3.860 0.000 3.860
3.860 3.860 0.000
Pm Tm
2 1
Direct
0.250 0.250 0.250
0.750 0.750 0.750
0.000 0.000 0.000
```

## Properties
Its calculated volume is 115.03 Å³/cell. The value obtained for the final energy is -3.9659 eV per atom. Its energy above the most stable polymorph in this dataset is 0.427 eV/atom. The calculation puts the size of the total moment at 0.029 μB per atom.


HfTlCoCu after structural relaxation. Source: OQMD via LeMat-Bulk, functional PBE.

POSCAR file:
```
HfTlCoCu
1.0
0.677 -3.147 3.231
-3.561 -2.148 1.873
-0.746 -4.406 -0.916
Co Cu Hf Tl
1 1 1 1
Direct
0.500 0.500 0.500
0.750 0.750 0.750
0.250 0.250 0.250
0.000 0.000 0.000
```

## Properties
Its calculated volume is 67.10 Å³/cell. The value obtained for the final energy is -5.5010 eV per atom. Its energy above the most stable polymorph in this dataset is 0.235 eV/atom. The calculation puts the size of the total moment at 0.282 μB per atom.


MgInNi2 after structural relaxation. Source: OQMD via LeMat-Bulk, functional PBE.

POSCAR file:
```
MgInNi2
1.0
2.156 -3.735 0.000
2.156 3.735 0.000
0.000 0.000 7.645
In Mg Ni
2 2 4
Direct
0.333 0.667 0.250
0.667 0.333 0.750
0.000 0.000 0.000
0.000 0.000 0.500
0.667 0.333 0.091
0.667 0.333 0.409
0.333 0.667 0.591
0.333 0.667 0.909
```

## Properties
Its calculated volume is 123.12 Å³/cell. The value obtained for the final energy is -4.0371 eV per atom. The calculation puts the size of the total moment at 0.001 μB per atom.


SrHo after structural relaxation. Source: OQMD via LeMat-Bulk, functional PBE.

POSCAR file:
```
SrHo
1.0
5.934 0.000 0.000
-2.967 5.139 0.000
0.000 0.000 6.380
Ho Sr
2 2
Direct
0.000 0.000 0.000
0.000 0.000 0.500
0.333 0.667 0.250
0.667 0.333 0.750
```

## Properties
Its calculated volume is 194.57 Å³/cell. The value obtained for the final energy is -2.4498 eV per atom. Its energy above the most stable polymorph in this dataset is 0.423 eV/atom. The calculation puts the size of the total moment at 0.004 μB per atom.


AlFeCu2 after structural relaxation. Source: OQMD via LeMat-Bulk, functional PBE.

POSCAR file:
```
AlFeCu2
1.0
0.000 2.869 2.869
2.869 0.000 2.869
2.869 2.869 0.000
Al Cu Fe
1 2 1
Direct
0.000 0.000 0.000
0.500 0.500 0.500
0.750 0.750 0.750
0.250 0.250 0.250
```

## Properties
Its calculated volume is 47.25 Å³/cell. The value obtained for the final energy is -4.8979 eV per atom. The calculation puts the size of the total moment at 0.496 μB per atom.


Y4Fe3Mo2N3 after structural relaxation. Source: OQMD via LeMat-Bulk, functional PBE.

POSCAR file:
```
Y4Fe3Mo2N3
1.0
-1.273 -2.719 -4.701
-0.724 -5.534 0.151
-13.457 1.763 2.570
Fe Mo N Y
6 4 6 8
Direct
0.356 0.627 0.240
0.313 0.180 0.252
0.862 0.152 0.258
0.139 0.849 0.742
0.688 0.821 0.748
0.645 0.372 0.760
0.490 0.339 0.079
0.161 0.012 0.421
0.839 0.988 0.579
0.510 0.661 0.921
0.500 0.000 0.000
0.817 0.356 0.002
0.143 0.683 0.498
0.500 0.000 0.500
0.857 0.317 0.502
0.183 0.644 0.998
0.159 0.007 0.093
0.829 0.667 0.119
0.832 0.672 0.380
0.492 0.341 0.408
0.507 0.659 0.592
0.168 0.328 0.620
0.171 0.333 0.881
0.840 0.993 0.907
```

## Properties
Its calculated volume is 375.01 Å³/cell. The value obtained for the final energy is -8.5591 eV per atom. The calculation puts the size of the total moment at 0.455 μB per atom.


KPb5Au3 after structural relaxation. Source: OQMD via LeMat-Bulk, functional PBE.

POSCAR file:
```
KPb5Au3
1.0
6.090 0.000 0.000
-3.045 5.274 0.000
0.000 0.000 8.662
Au K Pb
3 1 5
Direct
0.500 0.000 0.500
0.000 0.500 0.500
0.500 0.500 0.500
0.000 0.000 0.000
0.667 0.333 0.215
0.333 0.667 0.215
0.000 0.000 0.500
0.667 0.333 0.785
0.333 0.667 0.785
```

## Properties
Its calculated volume is 278.21 Å³/cell. The value obtained for the final energy is -3.3428 eV per atom.


LaGeSbPd2 after structural relaxation. Source: OQMD via LeMat-Bulk, functional PBE.

POSCAR file:
```
LaGeSbPd2
1.0
4.523 0.000 0.000
0.000 4.523 0.000
0.000 0.000 10.488
Ge La Pd Sb
2 2 4 2
Direct
0.000 0.000 0.500
0.500 0.500 0.500
0.000 0.500 0.261
0.500 0.000 0.739
0.000 0.000 0.000
0.500 0.500 0.000
0.500 0.000 0.390
0.000 0.500 0.610
0.500 0.000 0.139
0.000 0.500 0.861
```

## Properties
Its calculated volume is 214.58 Å³/cell. The value obtained for the final energy is -5.7148 eV per atom. The calculation puts the size of the total moment at 0.001 μB per atom.